Record 1
# Mg2CrCu PBE optimized geometry
data_Mg2CrCu
_cell_length_a 5.4132
_cell_length_b 5.4132
_cell_length_c 4.6092
_cell_angle_alpha 64.91
_cell_angle_beta 64.91
_cell_angle_gamma 34.55
_space_group_name_H-M_alt 'P 1'
_space_group_IT_number 1
loop_
_space_group_symop_operation_xyz
'x,y,z'
loop_
_atom_site_label
_atom_site_fract_x
_atom_site_fract_y
_atom_site_fract_z
Mg1 0.7548 0.7548 0.7445
Mg2 0.9770 0.9770 0.0238
Cu1 0.2433 0.2433 0.2559
Cr1 0.5249 0.5249 0.4759
# excess energy over the best structure of this formula in the dataset	0.038	eV/f.u.
# crystal system	monoclinic
# energy relative to the elements	0.2306	eV per atom
# spin magnetization	3.8	μB per formula unit


Record 2
# Pa2Be2Ni3 PBE optimized geometry
data_Pa2Be2Ni3
_cell_length_a 3.7284
_cell_length_b 6.5755
_cell_length_c 8.7544
_cell_angle_alpha 90.00
_cell_angle_beta 102.29
_cell_angle_gamma 90.00
_space_group_name_H-M_alt 'P 1'
_space_group_IT_number 1
loop_
_space_group_symop_operation_xyz
'x,y,z'
loop_
_atom_site_label
_atom_site_fract_x
_atom_site_fract_y
_atom_site_fract_z
Ni1 0.5679 0.4501 0.1358
Ni2 0.2279 0.7500 0.4558
Ni3 0.5679 0.0499 0.1358
Ni4 0.4321 0.9501 0.8642
Ni5 0.7721 0.2500 0.5442
Ni6 0.4321 0.5499 0.8642
Pa1 0.1550 0.2500 0.3100
Pa2 0.0678 0.7500 0.1356
Pa3 0.9322 0.2500 0.8644
Pa4 0.8450 0.7500 0.6900
Be1 0.6974 0.5660 0.3949
Be2 0.3026 0.4340 0.6051
Be3 0.6974 0.9340 0.3949
Be4 0.3026 0.0660 0.6051
# crystal system	orthorhombic
# energy relative to the elements	-0.3235	eV per atom
# spin magnetization	0.0	μB per formula unit


Record 3
# LiMgAl14 PBE optimized geometry
data_LiMgAl14
_cell_length_a 5.7405
_cell_length_b 5.7405
_cell_length_c 8.1494
_cell_angle_alpha 90.00
_cell_angle_beta 90.00
_cell_angle_gamma 90.00
_space_group_name_H-M_alt 'P 1'
_space_group_IT_number 1
loop_
_space_group_symop_operation_xyz
'x,y,z'
loop_
_atom_site_label
_atom_site_fract_x
_atom_site_fract_y
_atom_site_fract_z
Al1 0.3750 0.8750 0.5000
Al2 0.1274 0.6226 0.2444
Al3 0.1274 0.6226 0.7556
Al4 0.1274 0.1274 0.7556
Al5 0.6226 0.6226 0.2444
Al6 0.8750 0.8750 0.0000
Al7 0.1274 0.1274 0.2444
Al8 0.8750 0.3750 0.0000
Al9 0.3750 0.8750 0.0000
Al10 0.6226 0.1274 0.7556
Al11 0.8750 0.3750 0.5000
Al12 0.3750 0.3750 0.0000
Al13 0.6226 0.6226 0.7556
Al14 0.6226 0.1274 0.2444
Li1 0.3750 0.3750 0.5000
Mg1 0.8750 0.8750 0.5000
# crystal system	tetragonal
# energy relative to the elements	-0.0150	eV per atom
# spin magnetization	0.0	μB per formula unit


Record 4
# DyPuTc PBE optimized geometry
data_DyPuTc
_cell_length_a 6.5621
_cell_length_b 6.5621
_cell_length_c 7.1428
_cell_angle_alpha 62.65
_cell_angle_beta 62.65
_cell_angle_gamma 60.00
_space_group_name_H-M_alt 'P 1'
_space_group_IT_number 1
loop_
_space_group_symop_operation_xyz
'x,y,z'
loop_
_atom_site_label
_atom_site_fract_x
_atom_site_fract_y
_atom_site_fract_z
Dy1 0.8645 0.2437 0.2662
Dy2 0.2437 0.6257 0.2662
Dy3 0.6257 0.8645 0.2662
Tc1 0.6914 0.6914 0.9259
Tc2 0.3289 0.3289 0.0133
Tc3 0.1589 0.1589 0.5232
Pu1 0.7485 0.3833 0.7642
Pu2 0.3833 0.1040 0.7642
Pu3 0.1040 0.7485 0.7642
# excess energy over the best structure of this formula in the dataset	0.320	eV/f.u.
# crystal system	trigonal
# energy relative to the elements	0.1334	eV per atom
# spin magnetization	4.2	μB per formula unit


Record 5
# Sr5As5HO18 PBE optimized geometry
data_Sr5As5HO18
_cell_length_a 7.2688
_cell_length_b 7.2594
_cell_length_c 33.6364
_cell_angle_alpha 81.53
_cell_angle_beta 90.00
_cell_angle_gamma 90.00
_space_group_name_H-M_alt 'P 1'
_space_group_IT_number 1
loop_
_space_group_symop_operation_xyz
'x,y,z'
loop_
_atom_site_label
_atom_site_fract_x
_atom_site_fract_y
_atom_site_fract_z
H1 0.9864 0.0271 0.8946
H2 0.4864 0.9729 0.6054
H3 0.0136 0.9729 0.1054
H4 0.5136 0.0271 0.3946
As1 0.1733 0.0812 0.1573
As2 0.8267 0.9188 0.8427
As3 0.8996 0.1881 0.5393
As4 0.7939 0.4999 0.1519
As5 0.6004 0.1881 0.0393
As6 0.2061 0.5001 0.8481
As7 0.3996 0.8119 0.9607
As8 0.3267 0.0812 0.6573
As9 0.1608 0.3090 0.7666
As10 0.1004 0.8119 0.4607
As11 0.6556 0.2061 0.4578
As12 0.6733 0.9188 0.3427
As13 0.1556 0.7939 0.0422
As14 0.3444 0.7939 0.5422
As15 0.8392 0.6910 0.2334
As16 0.8444 0.2061 0.9578
As17 0.6608 0.6910 0.7334
As18 0.7061 0.4999 0.6519
As19 0.2939 0.5001 0.3481
As20 0.3392 0.3090 0.2666
O1 0.8865 0.7957 0.8059
O2 0.8819 0.6465 0.6336
O3 0.1135 0.2043 0.1941
O4 0.5358 0.5018 0.6172
O5 0.4642 0.4982 0.3828
O6 0.4055 0.2966 0.0203
O7 0.2079 0.9108 0.5015
O8 0.9269 0.6019 0.1889
O9 0.4717 0.9879 0.3672
O10 0.6181 0.6465 0.1336
O11 0.9245 0.9896 0.5724
O12 0.4269 0.3981 0.3111
O13 0.0358 0.4982 0.8828
O14 0.5148 0.6719 0.5225
O15 0.9296 0.0261 0.9365
O16 0.0148 0.3281 0.9775
O17 0.1958 0.2246 0.6230
O18 0.0012 0.8394 0.2462
O19 0.7056 0.2942 0.1745
O20 0.7976 0.3598 0.4291
O21 0.6958 0.7754 0.8770
O22 0.2024 0.6402 0.5709
O23 0.2056 0.7058 0.3255
O24 0.5283 0.0121 0.6328
O25 0.9642 0.5018 0.1172
O26 0.6542 0.8232 0.2157
O27 0.3061 0.5054 0.2332
O28 0.8042 0.7754 0.3770
O29 0.3458 0.1768 0.7843
O30 0.0283 0.9879 0.8672
O31 0.1542 0.1768 0.2843
O32 0.7921 0.0892 0.4985
O33 0.9055 0.7034 0.4797
O34 0.2545 0.6609 0.9427
O35 0.4245 0.0104 0.9276
O36 0.2976 0.6402 0.0709
O37 0.6999 0.1163 0.8272
O38 0.0731 0.3981 0.8111
O39 0.6939 0.4946 0.7668
O40 0.7079 0.0892 0.9985
O41 0.3042 0.2246 0.1230
O42 0.3865 0.2043 0.6941
O43 0.8458 0.8232 0.7157
O44 0.1181 0.3535 0.3664
O45 0.2455 0.6609 0.4427
O46 0.8061 0.4946 0.2668
O47 0.5755 0.9896 0.0724
O48 0.0704 0.9739 0.0635
O49 0.5704 0.0261 0.4365
O50 0.9717 0.0121 0.1328
O51 0.4988 0.8394 0.7462
O52 0.3819 0.3535 0.8664
O53 0.9852 0.6719 0.0225
O54 0.7455 0.3391 0.0573
O55 0.0945 0.2966 0.5203
O56 0.2921 0.9108 0.0015
O57 0.4852 0.3281 0.4775
O58 0.1999 0.8837 0.6728
O59 0.8001 0.1163 0.3272
O60 0.4296 0.9739 0.5635
O61 0.5731 0.6019 0.6889
O62 0.2944 0.7058 0.8255
O63 0.5012 0.1606 0.2538
O64 0.9988 0.1606 0.7538
O65 0.5945 0.7034 0.9797
O66 0.7944 0.2942 0.6745
O67 0.7024 0.3598 0.9291
O68 0.1939 0.5054 0.7332
O69 0.3001 0.8837 0.1728
O70 0.7545 0.3391 0.5573
O71 0.6135 0.7957 0.3059
O72 0.0755 0.0104 0.4276
Sr1 0.9011 0.6678 0.9434
Sr2 0.7278 0.4614 0.8437
Sr3 0.3840 0.9956 0.8551
Sr4 0.8461 0.6773 0.5540
Sr5 0.2278 0.5386 0.6563
Sr6 0.1160 0.9956 0.3551
Sr7 0.1516 0.8315 0.7539
Sr8 0.2722 0.5386 0.1563
Sr9 0.6539 0.6773 0.0540
Sr10 0.0989 0.3322 0.0566
Sr11 0.1539 0.3227 0.4460
Sr12 0.7722 0.4614 0.3437
Sr13 0.6516 0.1685 0.7461
Sr14 0.3461 0.3227 0.9460
Sr15 0.6160 0.0044 0.1449
Sr16 0.3484 0.8315 0.2539
Sr17 0.8484 0.1685 0.2461
Sr18 0.5989 0.6678 0.4434
Sr19 0.8840 0.0044 0.6449
Sr20 0.4011 0.3322 0.5566
# crystal system	monoclinic
# spin magnetization	0.0	μB per formula unit


Record 6
# Ac3Sn3Pd PBE optimized geometry
data_Ac3Sn3Pd
_cell_length_a 4.8968
_cell_length_b 6.4832
_cell_length_c 15.3045
_cell_angle_alpha 85.15
_cell_angle_beta 80.79
_cell_angle_gamma 67.81
_space_group_name_H-M_alt 'P 1'
_space_group_IT_number 1
loop_
_space_group_symop_operation_xyz
'x,y,z'
loop_
_atom_site_label
_atom_site_fract_x
_atom_site_fract_y
_atom_site_fract_z
Ac1 0.7507 0.7335 0.7650
Ac2 0.5376 0.3102 0.6147
Ac3 0.4029 0.2735 0.9207
Ac4 0.2493 0.2665 0.2350
Ac5 0.4624 0.6898 0.3853
Ac6 0.5971 0.7265 0.0793
Sn1 0.0443 0.1490 0.7624
Sn2 0.1433 0.2521 0.4613
Sn3 0.1220 0.8330 0.9229
Sn4 0.8567 0.7479 0.5387
Sn5 0.8780 0.1670 0.0771
Sn6 0.9557 0.8510 0.2376
Pd1 0.7463 0.1159 0.3915
Pd2 0.2537 0.8841 0.6085
# crystal system	monoclinic
# energy relative to the elements	-0.7655	eV per atom
# spin magnetization	0.4	μB per formula unit


Record 7
# K2CaCl PBE optimized geometry
data_K2CaCl
_cell_length_a 11.5859
_cell_length_b 11.5859
_cell_length_c 11.5859
_cell_angle_alpha 21.04
_cell_angle_beta 21.04
_cell_angle_gamma 21.04
_space_group_name_H-M_alt 'P 1'
_space_group_IT_number 1
loop_
_space_group_symop_operation_xyz
'x,y,z'
loop_
_atom_site_label
_atom_site_fract_x
_atom_site_fract_y
_atom_site_fract_z
K1 0.0252 0.0252 0.0252
K2 0.4748 0.4748 0.4748
Ca1 0.2500 0.2500 0.2500
Cl1 0.7500 0.7500 0.7500
# excess energy over the best structure of this formula in the dataset	0.000	eV/f.u.
# crystal system	trigonal
# ΔE_f (raw)	-0.852	eV/atom
# spin magnetization	0.0	μB per formula unit


Record 8
# LaEu PBE optimized geometry
data_LaEu
_cell_length_a 4.2794
_cell_length_b 4.2794
_cell_length_c 4.2794
_cell_angle_alpha 90.00
_cell_angle_beta 90.00
_cell_angle_gamma 90.00
_space_group_name_H-M_alt 'P 1'
_space_group_IT_number 1
loop_
_space_group_symop_operation_xyz
'x,y,z'
loop_
_atom_site_label
_atom_site_fract_x
_atom_site_fract_y
_atom_site_fract_z
La1 0.5000 0.5000 0.5000
Eu1 0.0000 0.0000 0.0000
# excess energy over the best structure of this formula in the dataset	0.180	eV/f.u.
# crystal system	cubic
# energy relative to the elements	0.1085	eV per atom
# spin magnetization	7.6	μB per formula unit


Number 1: electronic total energy -15.99 eV per cell. Number 2: electronic total energy -92.11 eV per cell. Number 3: electronic total energy -56.15 eV per cell. Number 4: electronic total energy -86.70 eV per cell. Number 5: electronic total energy -732.49 eV per cell. Number 6: electronic total energy -69.77 eV per cell. Number 7: electronic total energy -9.45 eV per cell. Number 8: electronic total energy -14.98 eV per cell.